The following is a DFT calculation (PBE) of a relaxed TbPm6Ho2Th crystal.

Properties
energy relative to the elements	0.1446	eV/atom
symmetry	No. 15

Unit cell a=9.696 b=8.834 c=8.834 alpha=116.18 beta=94.00 gamma=94.00
Atoms (fractional coordinates):
Tb1 0.250 0.408 0.592
Tb2 0.750 0.592 0.408
Pm1 0.058 0.110 0.760
Pm2 0.442 0.240 0.890
Pm3 0.942 0.890 0.240
Pm4 0.558 0.760 0.110
Pm5 0.314 0.988 0.426
Pm6 0.186 0.574 0.012
Pm7 0.686 0.012 0.574
Pm8 0.814 0.426 0.988
Pm9 0.119 0.703 0.486
Pm10 0.381 0.514 0.297
Pm11 0.881 0.297 0.514
Pm12 0.619 0.486 0.703
Ho1 0.449 0.800 0.708
Ho2 0.051 0.292 0.200
Ho3 0.551 0.200 0.292
Ho4 0.949 0.708 0.800
Th1 0.250 0.970 0.030
Th2 0.750 0.030 0.970

The following is a DFT calculation (PBE) of a relaxed TbPm3HoTh crystal.

Properties
energy relative to the elements	0.0312	eV/atom
symmetry	No. 11

Unit cell a=5.099 b=8.059 c=10.830 alpha=116.68 beta=90.00 gamma=90.00
Atoms (fractional coordinates):
Tb1 0.250 0.122 0.293
Tb2 0.750 0.878 0.707
Pm1 0.750 0.868 0.045
Pm2 0.250 0.132 0.955
Pm3 0.250 0.629 0.457
Pm4 0.750 0.371 0.543
Pm5 0.750 0.383 0.206
Pm6 0.250 0.617 0.794
Ho1 0.250 0.126 0.628
Ho2 0.750 0.874 0.372
Th1 0.250 0.623 0.123
Th2 0.750 0.377 0.877

The following is a DFT calculation (PBE) of a relaxed Tb6PmHo3Th2 crystal.

Properties
energy relative to the elements	0.0313	eV/atom
symmetry	No. 12

Unit cell a=6.178 b=6.178 c=11.791 alpha=95.01 beta=95.01 gamma=119.96
Atoms (fractional coordinates):
Tb1 0.917 0.580 0.751
Tb2 0.745 0.745 0.249
Tb3 0.083 0.420 0.249
Tb4 0.580 0.917 0.751
Tb5 0.255 0.255 0.751
Tb6 0.420 0.083 0.249
Pm1 0.000 0.000 0.000
Ho1 0.166 0.834 0.500
Ho2 0.834 0.166 0.500
Ho3 0.500 0.500 0.500
Th1 0.333 0.667 0.000
Th2 0.667 0.333 0.000

no.,DOS at the Fermi energy (states/eV/atom),theoretical density (g cm⁻³),E (eV/atom)
1,1.438,7.85,-4.826
2,1.463,8.28,-5.115
3,1.404,8.90,-5.061